Record 1
{
  "formula": "Gd2YH",
  "functional": "PBE",
  "state": "optimized geometry",
  "final_energy_ev_per_atom": -9.670,
  "lattice_angstrom": [[3.632, 0.000, 0.000], [1.816, 3.145, 0.000], [1.816, 1.048, 8.568]],
  "species": ["Y", "H", "Gd", "Gd"],
  "frac_coords": [[0.500, 0.500, 0.500], [0.000, 0.000, 0.000], [0.721, 0.721, 0.837], [0.279, 0.279, 0.163]]
}

***

Record 2
{
  "formula": "GdZnH",
  "functional": "PBE",
  "state": "optimized geometry",
  "polymorph_energy_mev_per_atom": 257,
  "lattice_angstrom": [[3.312, 0.000, 0.000], [0.000, 3.312, 0.000], [-1.656, -1.656, 5.006]],
  "species": ["H", "Zn", "Gd"],
  "frac_coords": [[0.081, 0.081, 0.162], [0.309, 0.309, 0.619], [0.610, 0.610, 0.220]]
}

***

Record 3
{
  "formula": "GdZnH",
  "functional": "PBE",
  "state": "optimized geometry",
  "polymorph_energy_mev_per_atom": 0,
  "lattice_angstrom": [[3.445, 0.000, 0.000], [0.000, 3.445, 0.000], [-1.723, -1.723, 8.331]],
  "species": ["H", "H", "Zn", "Zn", "Gd", "Gd"],
  "frac_coords": [[0.000, 0.500, 0.000], [0.500, 0.000, 0.000], [0.711, 0.711, 0.422], [0.289, 0.289, 0.578], [0.096, 0.096, 0.191], [0.904, 0.904, 0.809]]
}

***

Record 4
{
  "formula": "Gd12Zn3H5",
  "functional": "PBE",
  "state": "optimized geometry",
  "final_energy_ev_per_atom": -9.725,
  "lattice_angstrom": [[13.347, 0.000, 0.000], [-4.449, 12.583, 0.000], [-4.449, -6.292, 10.898]],
  "species": ["H", "H", "H", "H", "H", "H", "H", "H", "H", "H", "H", "H", "H", "H", "H", "H", "H", "H", "H", "H", "Zn", "Zn", "Zn", "Zn", "Zn", "Zn", "Zn", "Zn", "Zn", "Zn", "Zn", "Zn", "Gd", "Gd", "Gd", "Gd", "Gd", "Gd", "Gd", "Gd", "Gd", "Gd", "Gd", "Gd", "Gd", "Gd", "Gd", "Gd", "Gd", "Gd", "Gd", "Gd", "Gd", "Gd", "Gd", "Gd", "Gd", "Gd", "Gd", "Gd", "Gd", "Gd", "Gd", "Gd", "Gd", "Gd", "Gd", "Gd", "Gd", "Gd", "Gd", "Gd", "Gd", "Gd", "Gd", "Gd", "Gd", "Gd", "Gd", "Gd"],
  "frac_coords": [[0.125, 0.375, 0.250], [0.000, 0.500, 0.000], [0.000, 0.000, 0.000], [0.375, 0.250, 0.125], [0.500, 0.000, 0.500], [0.500, 0.500, 0.000], [0.125, 0.750, 0.375], [0.750, 0.125, 0.875], [0.750, 0.625, 0.375], [0.375, 0.125, 0.750], [0.625, 0.875, 0.250], [0.500, 0.500, 0.500], [0.500, 0.000, 0.000], [0.000, 0.000, 0.500], [0.250, 0.375, 0.625], [0.250, 0.875, 0.125], [0.000, 0.500, 0.500], [0.875, 0.250, 0.625], [0.625, 0.750, 0.875], [0.875, 0.625, 0.750], [0.750, 0.375, 0.125], [0.875, 0.750, 0.125], [0.375, 0.750, 0.625], [0.250, 0.125, 0.375], [0.875, 0.125, 0.250], [0.375, 0.625, 0.250], [0.625, 0.375, 0.750], [0.125, 0.875, 0.750], [0.750, 0.875, 0.625], [0.625, 0.250, 0.375], [0.125, 0.250, 0.875], [0.250, 0.625, 0.875], [0.709, 0.114, 0.019], [0.309, 0.519, 0.405], [0.981, 0.386, 0.291], [0.519, 0.209, 0.114], [0.596, 0.709, 0.691], [0.981, 0.595, 0.191], [0.309, 0.791, 0.404], [0.095, 0.904, 0.114], [0.595, 0.981, 0.691], [0.709, 0.596, 0.191], [0.791, 0.481, 0.386], [0.809, 0.905, 0.019], [0.114, 0.709, 0.519], [0.386, 0.405, 0.096], [0.096, 0.905, 0.386], [0.404, 0.114, 0.595], [0.096, 0.191, 0.209], [0.481, 0.691, 0.095], [0.809, 0.904, 0.291], [0.114, 0.404, 0.095], [0.386, 0.981, 0.791], [0.595, 0.614, 0.404], [0.905, 0.809, 0.519], [0.791, 0.309, 0.904], [0.405, 0.386, 0.596], [0.095, 0.191, 0.481], [0.209, 0.691, 0.096], [0.191, 0.096, 0.709], [0.614, 0.019, 0.209], [0.886, 0.596, 0.905], [0.519, 0.309, 0.905], [0.596, 0.886, 0.405], [0.904, 0.809, 0.791], [0.904, 0.095, 0.614], [0.886, 0.291, 0.481], [0.191, 0.095, 0.981], [0.614, 0.595, 0.904], [0.405, 0.019, 0.309], [0.291, 0.404, 0.809], [0.209, 0.519, 0.614], [0.905, 0.096, 0.886], [0.691, 0.209, 0.596], [0.481, 0.791, 0.886], [0.019, 0.405, 0.809], [0.404, 0.291, 0.309], [0.019, 0.614, 0.709], [0.691, 0.481, 0.595], [0.291, 0.886, 0.981]]
}

***

Record 5
{
  "formula": "Gd3Zn5H12",
  "functional": "PBE",
  "state": "optimized geometry",
  "final_energy_ev_per_atom": -4.547,
  "lattice_angstrom": [[10.586, 0.000, 0.000], [-3.529, 9.981, 0.000], [-3.529, -4.990, 8.644]],
  "species": ["Gd", "Gd", "Gd", "Gd", "Gd", "Gd", "Gd", "Gd", "Gd", "Gd", "Gd", "Gd", "Zn", "Zn", "Zn", "Zn", "Zn", "Zn", "Zn", "Zn", "Zn", "Zn", "Zn", "Zn", "Zn", "Zn", "Zn", "Zn", "Zn", "Zn", "Zn", "Zn", "H", "H", "H", "H", "H", "H", "H", "H", "H", "H", "H", "H", "H", "H", "H", "H", "H", "H", "H", "H", "H", "H", "H", "H", "H", "H", "H", "H", "H", "H", "H", "H", "H", "H", "H", "H", "H", "H", "H", "H", "H", "H", "H", "H", "H", "H", "H", "H"],
  "frac_coords": [[0.750, 0.375, 0.125], [0.875, 0.750, 0.125], [0.375, 0.750, 0.625], [0.250, 0.125, 0.375], [0.875, 0.125, 0.250], [0.375, 0.625, 0.250], [0.625, 0.375, 0.750], [0.125, 0.875, 0.750], [0.750, 0.875, 0.625], [0.625, 0.250, 0.375], [0.125, 0.250, 0.875], [0.250, 0.625, 0.875], [0.125, 0.375, 0.250], [0.000, 0.500, 0.000], [0.000, 0.000, 0.000], [0.375, 0.250, 0.125], [0.500, 0.000, 0.500], [0.500, 0.500, 0.000], [0.125, 0.750, 0.375], [0.750, 0.125, 0.875], [0.750, 0.625, 0.375], [0.375, 0.125, 0.750], [0.625, 0.875, 0.250], [0.500, 0.500, 0.500], [0.500, 0.000, 0.000], [0.000, 0.000, 0.500], [0.250, 0.375, 0.625], [0.250, 0.875, 0.125], [0.000, 0.500, 0.500], [0.875, 0.250, 0.625], [0.625, 0.750, 0.875], [0.875, 0.625, 0.750], [0.743, 0.141, 0.038], [0.295, 0.538, 0.397], [0.962, 0.359, 0.257], [0.538, 0.243, 0.141], [0.602, 0.743, 0.705], [0.962, 0.603, 0.205], [0.295, 0.757, 0.398], [0.103, 0.898, 0.141], [0.603, 0.962, 0.705], [0.743, 0.602, 0.205], [0.757, 0.462, 0.359], [0.795, 0.897, 0.038], [0.141, 0.743, 0.538], [0.359, 0.397, 0.102], [0.102, 0.897, 0.359], [0.398, 0.141, 0.603], [0.102, 0.205, 0.243], [0.462, 0.705, 0.103], [0.795, 0.898, 0.257], [0.141, 0.398, 0.103], [0.359, 0.962, 0.757], [0.603, 0.641, 0.398], [0.897, 0.795, 0.538], [0.757, 0.295, 0.898], [0.397, 0.359, 0.602], [0.103, 0.205, 0.462], [0.243, 0.705, 0.102], [0.205, 0.102, 0.743], [0.641, 0.038, 0.243], [0.859, 0.602, 0.897], [0.538, 0.295, 0.897], [0.602, 0.859, 0.397], [0.898, 0.795, 0.757], [0.898, 0.103, 0.641], [0.859, 0.257, 0.462], [0.205, 0.103, 0.962], [0.641, 0.603, 0.898], [0.397, 0.038, 0.295], [0.257, 0.398, 0.795], [0.243, 0.538, 0.641], [0.897, 0.102, 0.859], [0.705, 0.243, 0.602], [0.462, 0.757, 0.859], [0.038, 0.397, 0.795], [0.398, 0.257, 0.295], [0.038, 0.641, 0.743], [0.705, 0.462, 0.603], [0.257, 0.859, 0.962]]
}

***

Record 6
{
  "formula": "Gd2ZnH",
  "functional": "PBE",
  "state": "optimized geometry",
  "final_energy_ev_per_atom": -8.118,
  "lattice_angstrom": [[3.499, 0.000, 0.000], [1.750, 3.030, 0.000], [1.750, 1.010, 8.840]],
  "species": ["H", "Zn", "Gd", "Gd"],
  "frac_coords": [[0.500, 0.500, 0.500], [0.000, 0.000, 0.000], [0.115, 0.115, 0.656], [0.885, 0.885, 0.344]]
}

***

Record 7
{
  "formula": "GdZr2H",
  "functional": "PBE",
  "state": "optimized geometry",
  "final_energy_ev_per_atom": -8.558,
  "lattice_angstrom": [[3.226, 0.000, 0.000], [1.613, 2.794, 0.000], [1.613, 0.931, 8.784]],
  "species": ["H", "Gd", "Zr", "Zr"],
  "frac_coords": [[0.500, 0.500, 0.500], [0.000, 0.000, 0.000], [0.117, 0.117, 0.650], [0.883, 0.883, 0.350]]
}

***

Record 8
{
  "formula": "GdZrH",
  "functional": "PBE",
  "state": "optimized geometry",
  "polymorph_energy_mev_per_atom": 0,
  "lattice_angstrom": [[3.391, 0.000, 0.000], [1.696, 2.937, 0.000], [1.696, 0.979, 11.538]],
  "species": ["H", "H", "Gd", "Gd", "Zr", "Zr"],
  "frac_coords": [[0.276, 0.276, 0.172], [0.724, 0.724, 0.828], [0.789, 0.789, 0.634], [0.211, 0.211, 0.366], [0.371, 0.371, 0.887], [0.629, 0.629, 0.113]]
}